HfZr2Cd3 | GGA-PBE | optimized geometry

```
HfZr2Cd3
1.0
4.331 -0.001 -1.140
-2.618 6.239 -1.151
0.193 0.561 9.531
Hf Cd Zr
2 6 4
Direct
0.009 0.888 0.130 Hf
0.991 0.112 0.870 Hf
0.665 0.458 0.872 Cd
0.003 0.626 0.380 Cd
0.335 0.542 0.128 Cd
0.335 0.296 0.374 Cd
0.997 0.374 0.620 Cd
0.665 0.704 0.626 Cd
0.665 0.213 0.118 Zr
0.333 0.039 0.627 Zr
0.667 0.961 0.373 Zr
0.335 0.787 0.882 Zr
```

Summary:
SG ... No. 12
Crystal system ... monoclinic

---

Hf3Zr2Cd2 | GGA-PBE | optimized geometry

```
Hf3Zr2Cd2
1.0
4.435 0.000 0.983
2.155 6.200 0.773
-0.251 -0.591 11.629
Zr Hf Cd
4 6 4
Direct
0.757 0.803 0.682 Zr
0.243 0.197 0.318 Zr
0.470 0.161 0.898 Zr
0.530 0.839 0.102 Zr
0.133 0.833 0.902 Hf
0.867 0.167 0.098 Hf
0.793 0.505 0.908 Hf
0.338 0.830 0.495 Hf
0.662 0.170 0.505 Hf
0.207 0.495 0.092 Hf
0.933 0.827 0.308 Cd
0.067 0.173 0.692 Cd
0.596 0.509 0.300 Cd
0.404 0.491 0.700 Cd
```

Summary:
SG ... No. 12
Crystal system ... monoclinic

---

Hf3Zr3Cd2 | GGA-PBE | optimized geometry

```
Hf3Zr3Cd2
1.0
4.384 0.000 -0.920
-0.209 4.361 -0.993
-0.303 -0.158 9.460
Cd Zr Hf
2 3 3
Direct
0.250 0.750 0.500 Cd
0.750 0.250 0.500 Cd
0.500 0.000 0.000 Zr
0.624 0.624 0.249 Zr
0.376 0.376 0.751 Zr
0.000 0.500 0.000 Hf
0.124 0.124 0.247 Hf
0.876 0.876 0.753 Hf
```

Summary:
SG ... No. 71
Crystal system ... orthorhombic

---

Hf4ZrCd | GGA-PBE | optimized geometry

```
Hf4ZrCd
1.0
-1.175 1.977 -2.192
-2.720 0.191 1.630
4.795 10.373 6.789
Hf Cd Zr
4 1 1
Direct
0.000 0.000 0.667 Hf
0.500 0.500 0.827 Hf
0.000 0.000 0.333 Hf
0.500 0.500 0.173 Hf
0.500 0.500 0.500 Cd
0.000 0.000 0.000 Zr
```

Summary:
SG ... No. 123
Crystal system ... tetragonal

---

Hf2Zr4Cd5 | GGA-PBE | optimized geometry

```
Hf2Zr4Cd5
1.0
3.063 -0.964 -0.023
-2.605 7.759 -0.100
1.922 0.490 11.447
Cd Zr Hf
5 4 2
Direct
0.498 0.817 0.456 Cd
0.500 0.000 0.000 Cd
0.502 0.183 0.544 Cd
0.481 0.081 0.279 Cd
0.519 0.919 0.721 Cd
0.517 0.465 0.360 Zr
0.502 0.637 0.905 Zr
0.483 0.535 0.640 Zr
0.498 0.363 0.095 Zr
0.498 0.273 0.823 Hf
0.502 0.727 0.177 Hf
```

Summary:
SG ... No. 12
Crystal system ... monoclinic

---

Hf4Zr5Cd | GGA-PBE | optimized geometry

```
Hf4Zr5Cd
1.0
3.192 0.000 0.000
0.000 3.192 0.000
0.000 0.000 22.336
Hf Cd Zr
4 1 5
Direct
0.000 0.000 0.400 Hf
0.000 0.000 0.600 Hf
0.000 0.000 0.801 Hf
0.000 0.000 0.199 Hf
0.000 0.000 0.000 Cd
0.500 0.500 0.899 Zr
0.500 0.500 0.700 Zr
0.500 0.500 0.300 Zr
0.500 0.500 0.500 Zr
0.500 0.500 0.101 Zr
```

Summary:
SG ... No. 123
Crystal system ... tetragonal

---

HfZrCd2 | GGA-PBE | optimized geometry

```
HfZrCd2
1.0
8.048 0.000 0.000
0.000 8.048 0.000
4.024 4.024 2.859
Hf Zr Cd
2 2 4
Direct
0.000 0.000 0.000 Hf
0.750 0.250 0.500 Hf
0.250 0.750 0.500 Zr
0.500 0.500 0.000 Zr
0.122 0.625 0.250 Cd
0.875 0.878 0.750 Cd
0.628 0.125 0.250 Cd
0.375 0.372 0.750 Cd
```

Summary:
SG ... No. 122
Crystal system ... tetragonal

---

Hf2Zr8Cd | GGA-PBE | optimized geometry

```
Hf2Zr8Cd
1.0
-4.404 -1.758 -1.476
-3.883 0.983 8.238
-4.797 6.048 4.932
Zr Hf Cd
8 2 1
Direct
0.275 0.395 0.862 Zr
0.224 0.823 0.823 Zr
0.773 0.549 0.549 Zr
0.776 0.177 0.177 Zr
0.275 0.862 0.395 Zr
0.725 0.138 0.605 Zr
0.227 0.451 0.451 Zr
0.725 0.605 0.138 Zr
0.255 0.282 0.282 Hf
0.745 0.718 0.718 Hf
0.000 0.000 0.000 Cd
```

Summary:
SG ... No. 12
Crystal system ... monoclinic

---

HfZr5Cd2 | GGA-PBE | optimized geometry

```
HfZr5Cd2
1.0
0.173 -2.375 -3.810
3.433 -2.387 1.644
-7.581 -3.558 4.524
Cd Zr Hf
2 5 1
Direct
0.250 0.250 0.500 Cd
0.750 0.750 0.500 Cd
0.500 0.500 0.000 Zr
0.376 0.876 0.752 Zr
0.624 0.124 0.248 Zr
0.876 0.376 0.752 Zr
0.124 0.624 0.248 Zr
0.000 0.000 0.000 Hf
```

Summary:
SG ... No. 139
Crystal system ... tetragonal

---

Hf6Zr12Cd | GGA-PBE | optimized geometry

```
Hf6Zr12Cd
1.0
7.598 0.408 -1.591
-2.049 7.320 -1.609
0.298 0.395 7.755
Hf Zr Cd
6 12 1
Direct
0.663 0.099 0.099 Hf
0.099 0.099 0.663 Hf
0.901 0.901 0.337 Hf
0.901 0.337 0.901 Hf
0.337 0.901 0.901 Hf
0.099 0.663 0.099 Hf
0.754 0.245 0.500 Zr
0.666 0.665 0.932 Zr
0.066 0.335 0.334 Zr
0.753 0.500 0.246 Zr
0.334 0.068 0.335 Zr
0.666 0.932 0.665 Zr
0.500 0.245 0.755 Zr
0.246 0.755 0.500 Zr
0.500 0.755 0.245 Zr
0.934 0.665 0.666 Zr
0.334 0.335 0.068 Zr
0.247 0.500 0.754 Zr
0.000 0.000 0.000 Cd
```

Summary:
SG ... No. 2
Crystal system ... triclinic

---

HfZr2Cd2 | GGA-PBE | optimized geometry

```
HfZr2Cd2
1.0
3.136 0.000 0.000
0.000 3.073 0.582
0.000 -0.644 11.801
Cd Zr Hf
2 2 1
Direct
0.000 0.195 0.609 Cd
0.000 0.805 0.391 Cd
0.500 0.405 0.190 Zr
0.500 0.595 0.810 Zr
0.000 0.000 0.000 Hf
```

Summary:
SG ... No. 65
Crystal system ... orthorhombic
Excess energy over the best structure of this formula in the dataset ... 0 meV per atom

---

Hf3Zr3Cd | GGA-PBE | optimized geometry

```
Hf3Zr3Cd
1.0
-1.423 -4.301 2.554
0.730 -4.443 -7.076
6.592 0.855 5.114
Hf Zr Cd
6 6 2
Direct
0.250 0.762 0.942 Hf
0.750 0.820 0.762 Hf
0.750 0.942 0.180 Hf
0.250 0.058 0.820 Hf
0.750 0.238 0.058 Hf
0.250 0.180 0.238 Hf
0.750 0.102 0.628 Zr
0.750 0.526 0.898 Zr
0.250 0.474 0.102 Zr
0.750 0.372 0.474 Zr
0.250 0.898 0.372 Zr
0.250 0.628 0.526 Zr
0.750 0.667 0.333 Cd
0.250 0.333 0.667 Cd
```

Summary:
SG ... No. 176
Crystal system ... hexagonal

---

Hf2Zr2Cd3 | GGA-PBE | optimized geometry

```
Hf2Zr2Cd3
1.0
3.074 0.000 -0.371
0.000 3.074 0.000
0.454 0.000 16.686
Hf Zr Cd
2 2 3
Direct
0.860 0.000 0.720 Hf
0.140 0.000 0.280 Hf
0.706 0.500 0.412 Zr
0.294 0.500 0.588 Zr
0.569 0.500 0.138 Cd
0.000 0.000 0.000 Cd
0.431 0.500 0.862 Cd
```

Summary:
SG ... No. 65
Crystal system ... orthorhombic

---

Hf4Zr2Cd | GGA-PBE | optimized geometry

```
Hf4Zr2Cd
1.0
7.124 -2.198 -4.031
-4.308 7.299 -0.020
-1.297 2.198 8.082
Hf Cd Zr
8 2 4
Direct
0.500 0.687 0.480 Hf
0.207 0.187 0.687 Hf
0.793 0.480 0.980 Hf
0.207 0.520 0.020 Hf
0.500 0.020 0.813 Hf
0.793 0.813 0.313 Hf
0.500 0.313 0.520 Hf
0.500 0.980 0.187 Hf
0.000 0.250 0.250 Cd
0.000 0.750 0.750 Cd
0.500 0.648 0.852 Zr
0.500 0.352 0.148 Zr
0.204 0.852 0.352 Zr
0.796 0.148 0.648 Zr
```

Summary:
SG ... No. 140
Crystal system ... tetragonal

---

Cd5Hg | GGA-PBE | optimized geometry

```
Cd5Hg
1.0
6.013 0.000 0.000
-3.007 5.207 0.000
0.000 0.000 4.943
Hg Cd
1 5
Direct
0.000 0.000 0.000 Hg
0.667 0.333 0.000 Cd
0.500 0.500 0.500 Cd
0.000 0.500 0.500 Cd
0.333 0.667 0.000 Cd
0.500 0.000 0.500 Cd
```

Summary:
SG ... No. 191
Crystal system ... hexagonal

---

Cd2Hg | GGA-PBE | optimized geometry

```
Cd2Hg
1.0
-0.529 -2.652 1.822
-1.232 -4.551 -4.065
6.537 -3.123 -2.646
Cd Hg
4 2
Direct
0.608 0.785 0.717 Cd
0.015 0.970 0.003 Cd
0.337 0.326 0.672 Cd
0.929 0.141 0.385 Cd
0.657 0.686 0.346 Hg
0.288 0.425 0.043 Hg
```

Summary:
SG ... No. 12
Crystal system ... monoclinic

---

Cd4Hg | GGA-PBE | optimized geometry

```
Cd4Hg
1.0
-0.560 5.979 -1.788
-0.041 1.472 -6.044
-7.369 2.026 -1.893
Cd Hg
8 2
Direct
0.295 0.618 0.792 Cd
0.705 0.382 0.208 Cd
0.205 0.384 0.207 Cd
0.795 0.616 0.793 Cd
0.841 0.222 0.597 Cd
0.159 0.778 0.403 Cd
0.341 0.222 0.597 Cd
0.659 0.778 0.403 Cd
0.750 0.000 0.000 Hg
0.250 0.000 0.000 Hg
```

Summary:
SG ... No. 12
Crystal system ... monoclinic
Excess energy over the best structure of this formula in the dataset ... 21 meV per atom

---

Cd5Hg | GGA-PBE | optimized geometry

```
Cd5Hg
1.0
5.259 0.000 0.000
-2.629 4.554 0.000
0.000 0.000 5.762
Cd Hg
5 1
Direct
0.333 0.667 0.000 Cd
0.667 0.667 0.500 Cd
0.000 0.333 0.500 Cd
0.667 0.333 0.000 Cd
0.000 0.000 0.000 Cd
0.333 0.000 0.500 Hg
```

Summary:
SG ... No. 189
Crystal system ... hexagonal

---

CdHg6 | GGA-PBE | optimized geometry

```
CdHg6
1.0
6.104 0.000 0.000
0.000 6.104 0.000
0.000 0.000 11.001
Hg Cd
12 2
Direct
0.316 0.184 0.639 Hg
0.184 0.316 0.361 Hg
0.000 0.000 0.861 Hg
0.816 0.684 0.361 Hg
0.316 0.816 0.361 Hg
0.500 0.500 0.139 Hg
0.500 0.500 0.861 Hg
0.684 0.816 0.639 Hg
0.816 0.316 0.639 Hg
0.684 0.184 0.361 Hg
0.184 0.684 0.639 Hg
0.000 0.000 0.139 Hg
0.000 0.500 0.000 Cd
0.500 0.000 0.000 Cd
```

Summary:
SG ... No. 125
Crystal system ... tetragonal
Excess energy over the best structure of this formula in the dataset ... 22 meV per atom

---

Cd4Hg | GGA-PBE | optimized geometry

```
Cd4Hg
1.0
-0.416 -3.239 -2.658
2.845 -2.179 2.210
-4.062 -5.415 3.899
Cd Hg
4 1
Direct
0.403 0.403 0.194 Cd
0.750 0.250 0.500 Cd
0.597 0.597 0.806 Cd
0.250 0.750 0.500 Cd
0.000 0.000 0.000 Hg
```

Summary:
SG ... No. 139
Crystal system ... tetragonal
Excess energy over the best structure of this formula in the dataset ... 52 meV per atom

---

Cd5Hg2 | GGA-PBE | optimized geometry

```
Cd5Hg2
1.0
3.981 0.000 0.000
-1.991 4.851 0.026
0.000 0.621 8.523
Hg Cd
2 5
Direct
0.072 0.144 0.213 Hg
0.928 0.856 0.787 Hg
0.786 0.573 0.360 Cd
0.358 0.716 0.073 Cd
0.642 0.284 0.927 Cd
0.500 0.000 0.500 Cd
0.214 0.427 0.640 Cd
```

Summary:
SG ... No. 12
Crystal system ... monoclinic
Excess energy over the best structure of this formula in the dataset ... 0 meV per atom

---

CdHg3 | GGA-PBE | optimized geometry

```
CdHg3
1.0
6.220 0.000 0.000
0.000 3.514 0.000
3.110 1.757 4.728
Cd Hg
1 3
Direct
0.030 0.000 0.000 Cd
0.064 0.732 0.537 Hg
0.601 0.268 0.463 Hg
0.471 0.500 0.000 Hg
```

Summary:
SG ... No. 44
Crystal system ... orthorhombic
Excess energy over the best structure of this formula in the dataset ... 14 meV per atom

---

CdHg3 | GGA-PBE | optimized geometry

```
CdHg3
1.0
6.632 0.000 0.000
-3.316 5.744 0.000
0.000 0.000 5.341
Cd Hg
2 6
Direct
0.333 0.667 0.250 Cd
0.667 0.333 0.750 Cd
0.832 0.664 0.250 Hg
0.168 0.336 0.750 Hg
0.832 0.168 0.250 Hg
0.664 0.832 0.750 Hg
0.168 0.832 0.750 Hg
0.336 0.168 0.250 Hg
```

Summary:
SG ... No. 194
Crystal system ... hexagonal
Excess energy over the best structure of this formula in the dataset ... 19 meV per atom

---

These records have total energy values of -5.04 -6.88 -7.23 -8.22 -5.41 -8.35 -4.70 -8.00 -6.90 -8.44 -5.83 -8.05 -5.67 -7.91 -0.71 -0.69 -0.75 -0.80 -0.33 -0.72 -0.74 -0.42 -0.42 eV/atom, in the order they appear.
These records have formation enthalpy at 0 K values of -45 59 -46 -6 -86 0 146 117 -68 283 -28 3 4 234 57 6 19 8 37 34 3 13 14 kJ/mol of formula units, in the order they appear.